[1]
This record from Alexandria via LeMat-Bulk describes TlNiS2Cl at its PBEsol-relaxed geometry. The functional is SCAN.

Cell lengths 5.0203, 5.0203, 5.1295 Å; angles 90.00, 90.00, 90.00 degrees
Space group P4/mmm (No. 123)
One atom of each set of equivalent atoms:
Tl (0.0000, 0.0000, 0.0000)
Ni (0.5000, 0.5000, 0.5000)
S (0.0000, 0.5000, 0.0000)
Cl (0.0000, 0.0000, 0.5000)

Calculated values
The formation energy without anion corrections comes out at 19.886 kcal/mol of atoms. As for the total moment: 0.36 μB/atom. The calculation puts the energy above the most stable polymorph in this dataset at 4.88 eV per formula unit.

[2]
This record from Alexandria via LeMat-Bulk describes Ba2ReMo at its PBEsol-relaxed geometry. The functional is SCAN.

Cell lengths 5.8682, 11.1357, 2.9334 Å; angles 90.00, 90.00, 90.00 degrees
Space group Cmmm (No. 65)
One atom of each set of equivalent atoms:
Ba (0.2500, 0.2500, 0.0000)
Re (0.0000, 0.0000, 0.5000)
Mo (0.0000, 0.5000, 0.5000)

Calculated values
As for the total moment: 0.00 μB/atom. The calculation puts the energy above the most stable polymorph in this dataset at 0.00 eV per formula unit. The value obtained for the energy of formation is 6.7 eV/f.u.

[3]
This record from Alexandria via LeMat-Bulk describes MgZrSe at its PBEsol-relaxed geometry. The functional is SCAN.

Cell lengths 3.3739, 3.3739, 10.9344 Å; angles 90.00, 90.00, 90.00 degrees
Space group I4mm (No. 107)
One atom of each set of equivalent atoms:
Mg (0.0000, 0.0000, 0.0000)
Zr (0.0000, 0.0000, 0.6976)
Se (0.0000, 0.0000, 0.3177)

Calculated values
The formation energy without anion corrections comes out at -15.540 kcal/mol of atoms. As for the total moment: 0.00 μB/atom. The calculation puts the energy above the most stable polymorph in this dataset at 0.00 eV per formula unit.

[4]
This record from Alexandria via LeMat-Bulk describes As2WAu at its PBEsol-relaxed geometry. The functional is SCAN.

Cell lengths 4.3189, 3.1553, 5.1971 Å; angles 90.00, 112.45, 90.00 degrees
Space group P2/m (No. 10)
One atom of each set of equivalent atoms:
As (0.0000, 0.0000, 0.0000)
As (0.0000, 0.5000, 0.5000)
W (0.5000, 0.0000, 0.5000)
Au (0.5000, 0.5000, 0.0000)

Calculated values
As for the total moment: 0.00 μB/atom. The calculation puts the energy above the most stable polymorph in this dataset at 0.38 eV per formula unit. The value obtained for the energy of formation is 1.7 eV/f.u.

[5]
This record from Alexandria via LeMat-Bulk describes CaZr2Te at its PBEsol-relaxed geometry. The functional is SCAN.

Cell lengths 7.1665, 7.1665, 7.1665 Å; angles 90.00, 90.00, 90.00 degrees
Space group F-43m (No. 216)
One atom of each set of equivalent atoms:
Ca (0.0000, 0.0000, 0.0000)
Zr (0.0000, 0.0000, 0.5000)
Zr (0.2500, 0.2500, 0.7500)
Te (0.2500, 0.2500, 0.2500)

Calculated values
The formation energy without anion corrections comes out at 0.205 kcal/mol of atoms. As for the total moment: 0.49 μB/atom.

[6]
This record from Alexandria via LeMat-Bulk describes MnAl3F at its PBEsol-relaxed geometry. The functional is SCAN.

Cell lengths 4.5526, 4.5526, 4.5526 Å; angles 90.00, 90.00, 90.00 degrees
Space group Pm-3m (No. 221)
One atom of each set of equivalent atoms:
Mn (0.0000, 0.0000, 0.0000)
Al (0.0000, 0.0000, 0.5000)
F (0.5000, 0.5000, 0.5000)

Calculated values
The formation energy without anion corrections comes out at 1.032 kcal/mol of atoms. As for the total moment: 0.53 μB/atom.

[7]
This record from Alexandria via LeMat-Bulk describes La2CrRu at its PBEsol-relaxed geometry. The functional is SCAN.

Cell lengths 4.2409, 4.2409, 9.6545 Å; angles 90.00, 90.00, 90.00 degrees
Space group I-4m2 (No. 119)
One atom of each set of equivalent atoms:
La (0.0000, 0.0000, 0.0000)
La (0.0000, 0.5000, 0.2500)
Cr (0.0000, 0.5000, 0.7500)
Ru (0.0000, 0.0000, 0.5000)

Calculated values
As for the total moment: 1.09 μB/atom. The value obtained for the energy of formation is 0.8 eV/f.u.

[8]
This record from Alexandria via LeMat-Bulk describes RbTaTiO5 at its PBEsol-relaxed geometry. The functional is SCAN.

Cell lengths 6.4332, 3.8093, 18.9778 Å; angles 90.00, 90.00, 90.00 degrees
Space group Pnma (No. 62)
One atom of each set of equivalent atoms:
Rb (0.2123, 0.2500, 0.1958)
Ta (0.2280, 0.2500, 0.8945)
Ti (0.1807, 0.2500, 0.5329)
O (0.0350, 0.2500, 0.6167)
O (0.0638, 0.7500, 0.0691)
O (0.1456, 0.7500, 0.5088)
O (0.1580, 0.2500, 0.8024)
O (0.2387, 0.7500, 0.9223)

Calculated values
The formation energy without anion corrections comes out at -70.261 kcal/mol of atoms. As for the total moment: 0.00 μB/atom.

[9]
This record from Alexandria via LeMat-Bulk describes Zn2CdSe at its PBEsol-relaxed geometry. The functional is SCAN.

Cell lengths 4.2425, 4.2425, 8.1689 Å; angles 90.00, 90.00, 90.00 degrees
Space group I-4m2 (No. 119)
One atom of each set of equivalent atoms:
Zn (0.0000, 0.0000, 0.0000)
Zn (0.0000, 0.5000, 0.2500)
Cd (0.0000, 0.0000, 0.5000)
Se (0.0000, 0.5000, 0.7500)

Calculated values
The formation energy without anion corrections comes out at 4.985 kcal/mol of atoms. As for the total moment: 0.00 μB/atom. The calculation puts the energy above the most stable polymorph in this dataset at 0.51 eV per formula unit.

[10]
This record from Alexandria via LeMat-Bulk describes Na3BeRu at its PBEsol-relaxed geometry. The functional is SCAN.

Cell lengths 5.0203, 5.0203, 5.0203 Å; angles 90.00, 90.00, 90.00 degrees
Space group Pm-3m (No. 221)
One atom of each set of equivalent atoms:
Na (0.0000, 0.0000, 0.5000)
Be (0.0000, 0.0000, 0.0000)
Ru (0.5000, 0.5000, 0.5000)

Calculated values
As for the total moment: 0.41 μB/atom. The value obtained for the energy of formation is 7.0 eV/f.u.

[11]
This record from Alexandria via LeMat-Bulk describes Ca3Si5 at its PBEsol-relaxed geometry. The functional is SCAN.

Cell lengths 8.4424, 8.6207, 4.1903 Å; angles 90.00, 90.00, 90.00 degrees
Space group Cmmm (No. 65)
One atom of each set of equivalent atoms:
Ca (0.0000, 0.0000, 0.0000)
Ca (0.2308, 0.5000, 0.5000)
Si (0.0000, 0.2490, 0.5000)
Si (0.0000, 0.5000, 0.0000)
Si (0.2500, 0.2500, 0.0000)

Calculated values
The formation energy without anion corrections comes out at 0.354 kcal/mol of atoms. As for the total moment: 0.00 μB/atom.

[12]
This record from Alexandria via LeMat-Bulk describes TmFe5P3 at its PBEsol-relaxed geometry. The functional is SCAN.

Cell lengths 11.5861, 3.5910, 10.0780 Å; angles 90.00, 90.00, 90.00 degrees
Space group Pnma (No. 62)
One atom of each set of equivalent atoms:
Tm (0.2039, 0.2500, 0.0803)
Fe (0.0105, 0.7500, 0.0950)
Fe (0.0107, 0.7500, 0.7056)
Fe (0.0667, 0.7500, 0.4641)
Fe (0.1749, 0.2500, 0.7801)
Fe (0.2011, 0.2500, 0.3773)
P (0.1046, 0.7500, 0.8977)
P (0.1139, 0.2500, 0.5787)
P (0.1303, 0.7500, 0.2660)

Calculated values
As for the total moment: 0.19 μB/atom. The value obtained for the energy of formation is -6.1 eV/f.u.

[13]
This record from Alexandria via LeMat-Bulk describes MgZnCo2 at its PBEsol-relaxed geometry. The functional is SCAN.

Cell lengths 2.8067, 2.8067, 6.6294 Å; angles 90.00, 90.00, 90.00 degrees
Space group P4mm (No. 99)
One atom of each set of equivalent atoms:
Mg (0.0000, 0.0000, 0.0000)
Zn (0.5000, 0.5000, 0.3137)
Co (0.0000, 0.0000, 0.5425)
Co (0.5000, 0.5000, 0.7353)

Calculated values
As for the total moment: 0.86 μB/atom. The value obtained for the energy of formation is 0.1 eV/f.u.

[14]
This record from Alexandria via LeMat-Bulk describes MgTaO2 at its PBEsol-relaxed geometry. The functional is SCAN.

Cell lengths 4.8155, 4.8155, 8.8811 Å; angles 90.00, 90.00, 90.00 degrees
Space group I-42d (No. 122)
One atom of each set of equivalent atoms:
Mg (0.0000, 0.0000, 0.0000)
Ta (0.0000, 0.0000, 0.5000)
O (0.2365, 0.2500, 0.1250)

Calculated values
The formation energy without anion corrections comes out at -40.044 kcal/mol of atoms. As for the total moment: 0.00 μB/atom.

[15]
This record from Alexandria via LeMat-Bulk describes CsK3 at its PBEsol-relaxed geometry. The functional is SCAN.

Cell lengths 9.6647, 9.6647, 7.7773 Å; angles 90.00, 90.00, 120.00 degrees
Space group P6_3/mmc (No. 194)
One atom of each set of equivalent atoms:
Cs (0.3333, 0.6667, 0.2500)
K (0.1610, 0.3219, 0.7500)

Calculated values
As for the total moment: 0.00 μB/atom. The value obtained for the energy of formation is 0.0 eV/f.u.

[16]
This record from Alexandria via LeMat-Bulk describes P4S6O3 at its PBEsol-relaxed geometry. The functional is SCAN.

Cell lengths 6.5797, 12.3989, 7.2911 Å; angles 90.00, 103.70, 90.00 degrees
Space group P2_1/m (No. 11)
One atom of each set of equivalent atoms:
P (0.1800, 0.1305, 0.3133)
P (0.2074, 0.7500, 0.5359)
P (0.3015, 0.2500, 0.6737)
S (0.0088, 0.2500, 0.7326)
S (0.1327, 0.6130, 0.6841)
S (0.2889, 0.0174, 0.1916)
S (0.4724, 0.7500, 0.1101)
O (0.2002, 0.2500, 0.2260)
O (0.3032, 0.1485, 0.5329)

Calculated values
The formation energy without anion corrections comes out at -19.960 kcal/mol of atoms. As for the total moment: 0.00 μB/atom.

[17]
This record from Alexandria via LeMat-Bulk describes MoCl2F at its PBEsol-relaxed geometry. The functional is SCAN.

Cell lengths 8.6337, 8.6337, 4.0085 Å; angles 90.00, 90.00, 90.00 degrees
Space group I-42d (No. 122)
One atom of each set of equivalent atoms:
Mo (0.0000, 0.0000, 0.0000)
Cl (0.0984, 0.2500, 0.1250)
F (0.0000, 0.0000, 0.5000)

Calculated values
The formation energy without anion corrections comes out at -26.643 kcal/mol of atoms. As for the total moment: 0.00 μB/atom. The calculation puts the energy above the most stable polymorph in this dataset at 0.00 eV per formula unit.

[18]
This record from Alexandria via LeMat-Bulk describes Mn3IrO at its PBEsol-relaxed geometry. The functional is SCAN.

Cell lengths 4.6960, 4.6960, 4.6960 Å; angles 90.00, 90.00, 90.00 degrees
Space group Pm-3m (No. 221)
One atom of each set of equivalent atoms:
Mn (0.0000, 0.0000, 0.5000)
Ir (0.0000, 0.0000, 0.0000)
O (0.5000, 0.5000, 0.5000)

Calculated values
The formation energy without anion corrections comes out at 17.848 kcal/mol of atoms. As for the total moment: 2.95 μB/atom.

[19]
This record from Alexandria via LeMat-Bulk describes Ca2TcW at its PBEsol-relaxed geometry. The functional is SCAN.

Cell lengths 2.9444, 2.9444, 30.7043 Å; angles 90.00, 90.00, 120.00 degrees
Space group R-3m (No. 166, hexagonal axes)
One atom of each set of equivalent atoms:
Ca (0.0000, 0.0000, 0.2476)
Tc (0.0000, 0.0000, 0.5000)
W (0.0000, 0.0000, 0.0000)

Calculated values
As for the total moment: 0.18 μB/atom. The calculation puts the energy above the most stable polymorph in this dataset at 2.94 eV per formula unit. The value obtained for the energy of formation is 4.3 eV/f.u.

[20]
This record from Alexandria via LeMat-Bulk describes AsIr2Se at its PBEsol-relaxed geometry. The functional is SCAN.

Cell lengths 6.2562, 6.2562, 6.2562 Å; angles 90.00, 90.00, 90.00 degrees
Space group Fm-3m (No. 225)
One atom of each set of equivalent atoms:
As (0.0000, 0.0000, 0.0000)
Ir (0.2500, 0.2500, 0.2500)
Se (0.0000, 0.0000, 0.5000)

Calculated values
The formation energy without anion corrections comes out at 11.489 kcal/mol of atoms. As for the total moment: 0.30 μB/atom. The calculation puts the energy above the most stable polymorph in this dataset at 2.02 eV per formula unit.

[21]
This record from Alexandria via LeMat-Bulk describes KTeC3 at its PBEsol-relaxed geometry. The functional is SCAN.

Cell lengths 4.3090, 4.3090, 4.3090 Å; angles 90.00, 90.00, 90.00 degrees
Space group Pm-3m (No. 221)
One atom of each set of equivalent atoms:
K (0.0000, 0.0000, 0.0000)
Te (0.5000, 0.5000, 0.5000)
C (0.0000, 0.5000, 0.5000)

Calculated values
The formation energy without anion corrections comes out at 62.104 kcal/mol of atoms. As for the total moment: 0.00 μB/atom.

[22]
This record from Alexandria via LeMat-Bulk describes Cs2IrN at its PBEsol-relaxed geometry. The functional is SCAN.

Cell lengths 12.5823, 12.5823, 3.7171 Å; angles 90.00, 90.00, 90.00 degrees
Space group I-42d (No. 122)
One atom of each set of equivalent atoms:
Cs (0.0246, 0.2500, 0.1250)
Ir (0.0000, 0.0000, 0.5000)
N (0.0000, 0.0000, 0.0000)

Calculated values
The formation energy without anion corrections comes out at -2.060 kcal/mol of atoms. As for the total moment: 0.03 μB/atom.

[23]
This record from Alexandria via LeMat-Bulk describes Y2Au at its PBEsol-relaxed geometry. The functional is SCAN.

Cell lengths 8.3799, 8.3799, 8.3799 Å; angles 90.00, 90.00, 90.00 degrees
Space group Fd-3m (No. 227, origin choice 2)
One atom of each set of equivalent atoms:
Y (0.0000, 0.0000, 0.0000)
Au (0.1250, 0.1250, 0.6250)

Calculated values
As for the total moment: 0.00 μB/atom. The value obtained for the energy of formation is 0.8 eV/f.u.

[24]
This record from Alexandria via LeMat-Bulk describes Al2CoIr at its PBEsol-relaxed geometry. The functional is SCAN.

Cell lengths 5.8384, 5.8384, 5.8384 Å; angles 90.00, 90.00, 90.00 degrees
Space group Fm-3m (No. 225)
One atom of each set of equivalent atoms:
Al (0.2500, 0.2500, 0.2500)
Co (0.0000, 0.0000, 0.0000)
Ir (0.0000, 0.0000, 0.5000)

Calculated values
As for the total moment: 0.10 μB/atom. The calculation puts the energy above the most stable polymorph in this dataset at 0.00 eV per formula unit. The value obtained for the energy of formation is -3.9 eV/f.u.